Record 1
Here is an optimized crystal structure of LiScP from Alexandria via LeMat-Bulk. Energies are from PBE.

a b c (Å): 5.3994 5.2340 3.3882
angles (deg): 74.09 68.79 37.12
Element x y z (fractional)
Li: 0.0000 0.0000 0.0000
Sc: 0.2795 0.2795 0.7205
P: 0.6379 0.6379 0.3621

Values from the calculation:
DFT formation energy = -0.505 eV per atom
Crystal system = orthorhombic

***

Record 2
Here is an optimized crystal structure of Pa2ZnSb from Alexandria via LeMat-Bulk. Energies are from PBE.

a b c (Å): 11.8125 11.8125 11.8125
angles (deg): 15.46 15.46 15.46
Element x y z (fractional)
Pa: 0.0886 0.0886 0.0886
Pa: 0.9114 0.9114 0.9114
Zn: 0.0000 0.0000 0.0000
Sb: 0.5000 0.5000 0.5000

Values from the calculation:
Raw formation energy = 0.2655 eV per atom
Crystal system = trigonal
Energy relative to the lowest polymorph listed for this composition = 410 meV/atom

***

For reference, size of the total moment by record: 0.00 0.00 μB/f.u..